No. 1
First-principles (PBE-GGA) data for crystalline Li2AcCu at its relaxed geometry, as listed in Alexandria.

Properties
As for the density of states at the Fermi level: 4.83 states/eV/cell. As for the density: 5394 kg/m3. For the total magnetization, the calculation gives 0.000 μB per atom. The value obtained for the calculated formation energy is -0.033 eV/atom.

Lattice parameters (Å, degrees): 4.1645 5.8437 8.2524 90.00 90.00 111.04
Element x y z (fractional)
1 Cu 0.7684 0.5360 0.7500
2 Li 0.3297 0.6592 0.5578
3 Li 0.3297 0.6592 0.9422
4 Ac 0.0523 0.1041 0.7500
5 Li 0.6703 0.3408 0.4422
6 Ac 0.9477 0.8959 0.2500
7 Li 0.6703 0.3408 0.0578
8 Cu 0.2316 0.4640 0.2500

---

No. 2
First-principles (PBE-GGA) data for crystalline ScSbSe at its relaxed geometry, as listed in Alexandria.

Properties
As for the density of states at the Fermi level: 1.22 states/eV/cell. As for the density: 5920 kg/m3. For the total magnetization, the calculation gives 0.000 μB per atom. For the raw formation energy, the calculation gives -2.67 eV per formula unit.

Lattice parameters (Å, degrees): 6.0275 6.0273 3.5457 72.90 72.89 34.21
Element x y z (fractional)
1 Sc 0.3032 0.3032 0.6968
2 Sb 0.9902 0.9902 0.0098
3 Se 0.7066 0.7066 0.2934

---

No. 3
First-principles (PBE-GGA) data for crystalline Ti8BiPd2 at its relaxed geometry, as listed in Alexandria.

Properties
As for the density of states at the Fermi level: 11.79 states/eV/cell. As for the density: 6737 kg/m3. For the total magnetization, the calculation gives 0.000 μB per atom. The value obtained for the calculated formation energy is -0.139 eV/atom.

Lattice parameters (Å, degrees): 5.5163 7.4264 7.4264 40.98 84.15 84.15
Element x y z (fractional)
1 Ti 0.3547 0.8348 0.3605
2 Pd 0.5985 0.7446 0.7446
3 Ti 0.8882 0.2249 0.2249
4 Bi 0.0000 0.0000 0.0000
5 Ti 0.8835 0.5958 0.5958
6 Ti 0.6453 0.6395 0.1652
7 Ti 0.6453 0.1652 0.6395
8 Ti 0.1165 0.4042 0.4042
9 Ti 0.1118 0.7751 0.7751
10 Pd 0.4015 0.2554 0.2554
11 Ti 0.3547 0.3605 0.8348

---

No. 4
First-principles (PBE-GGA) data for crystalline Li15Tl2Rh2 at its relaxed geometry, as listed in Alexandria.

Properties
As for the density of states at the Fermi level: 7.10 states/eV/cell. As for the density: 3857 kg/m3. For the total magnetization, the calculation gives 0.000 μB per atom. The value obtained for the calculated formation energy is -0.034 eV/atom.

Lattice parameters (Å, degrees): 6.9068 6.9068 6.9068 77.64 77.64 77.64
Element x y z (fractional)
1 Li 0.5000 0.0000 0.0000
2 Rh 0.9031 0.9031 0.9031
3 Li 0.8539 0.3898 0.3898
4 Li 0.0000 0.7267 0.2733
5 Li 0.0000 0.2733 0.7267
6 Tl 0.6922 0.6922 0.6922
7 Li 0.0000 0.5000 0.0000
8 Li 0.0000 0.0000 0.5000
9 Li 0.1461 0.6102 0.6102
10 Li 0.6102 0.6102 0.1461
11 Li 0.2733 0.0000 0.7267
12 Li 0.2733 0.7267 0.0000
13 Rh 0.0969 0.0969 0.0969
14 Li 0.7267 0.0000 0.2733
15 Li 0.3898 0.3898 0.8539
16 Li 0.7267 0.2733 0.0000
17 Li 0.6102 0.1461 0.6102
18 Tl 0.3078 0.3078 0.3078
19 Li 0.3898 0.8539 0.3898